LiCuIr | PBEsol | optimized geometry

Calculated values
The energy of formation comes out at 0.100 eV per atom. Its crystal system is tetragonal. The energy comes out at -0.194 hartree per atom. The total moment comes out at 0.000 Bohr magnetons per cell. As for the energy above the most stable polymorph in this dataset: 0.000 eV per atom.

```
data_LiCuIr
_chemical_formula_sum 'Li2 Cu2 Ir2'
_cell_length_a 2.581
_cell_length_b 2.581
_cell_length_c 11.697
_cell_angle_alpha 90.00
_cell_angle_beta 90.00
_cell_angle_gamma 90.00
_symmetry_space_group_name_H-M 'I 4 m m'
_symmetry_Int_Tables_number 107
_symmetry_space_group_name_Hall 'I 4 -2'
loop_
_atom_site_label
_atom_site_type_symbol
_atom_site_fract_x
_atom_site_fract_y
_atom_site_fract_z
_atom_site_occupancy
Li1 Li 0.000 0.000 0.000 1
Cu1 Cu 0.000 0.000 0.672 1
Ir1 Ir 0.000 0.000 0.332 1
```


Li2CuIr | PBEsol | optimized geometry

Calculated values
The energy of formation comes out at -0.063 eV per atom. Its crystal system is orthorhombic. The energy comes out at -0.169 hartree per atom. The total moment comes out at 0.005 Bohr magnetons per cell. As for the energy above the most stable polymorph in this dataset: 0.016 eV per atom.

```
data_Li2CuIr
_chemical_formula_sum 'Li4 Cu2 Ir2'
_cell_length_a 2.712
_cell_length_b 4.294
_cell_length_c 8.493
_cell_angle_alpha 90.00
_cell_angle_beta 90.00
_cell_angle_gamma 90.00
_symmetry_space_group_name_H-M 'I m m m'
_symmetry_Int_Tables_number 71
_symmetry_space_group_name_Hall '-I 2 2'
loop_
_atom_site_label
_atom_site_type_symbol
_atom_site_fract_x
_atom_site_fract_y
_atom_site_fract_z
_atom_site_occupancy
Li1 Li 0.000 0.000 0.240 1
Cu1 Cu 0.000 0.500 0.500 1
Ir1 Ir 0.000 0.500 0.000 1
```


Li2CuIr | PBEsol | optimized geometry

Calculated values
The energy of formation comes out at -0.054 eV per atom. Its crystal system is orthorhombic. The energy comes out at -0.168 hartree per atom. The total moment comes out at 0.002 Bohr magnetons per cell. As for the energy above the most stable polymorph in this dataset: 0.025 eV per atom.

```
data_Li2CuIr
_chemical_formula_sum 'Li2 Cu1 Ir1'
_cell_length_a 2.711
_cell_length_b 4.272
_cell_length_c 4.296
_cell_angle_alpha 90.00
_cell_angle_beta 90.00
_cell_angle_gamma 90.00
_symmetry_space_group_name_H-M 'P m m m'
_symmetry_Int_Tables_number 47
loop_
_symmetry_equiv_pos_as_xyz
'x,y,z'
'-x,-y,-z'
'-x,-y,z'
'x,y,-z'
'x,-y,-z'
'-x,y,z'
'-x,y,-z'
'x,-y,z'
loop_
_atom_site_label
_atom_site_type_symbol
_atom_site_fract_x
_atom_site_fract_y
_atom_site_fract_z
_atom_site_occupancy
Li1 Li 0.000 0.000 0.000 1
Li2 Li 0.500 0.000 0.500 1
Cu1 Cu 0.000 0.500 0.500 1
Ir1 Ir 0.500 0.500 0.000 1
```


Li2CuIr | PBEsol | optimized geometry

Calculated values
The energy of formation comes out at -0.079 eV per atom. Its crystal system is trigonal. The energy comes out at -0.169 hartree per atom. The total moment comes out at 0.005 Bohr magnetons per cell. As for the energy above the most stable polymorph in this dataset: 0.000 eV per atom.

```
data_Li2CuIr
_chemical_formula_sum 'Li6 Cu3 Ir3'
_cell_length_a 2.6245
_cell_length_b 2.6245
_cell_length_c 25.9223
_cell_angle_alpha 90.00
_cell_angle_beta 90.00
_cell_angle_gamma 120.00
_symmetry_space_group_name_H-M 'R -3 m'
_symmetry_Int_Tables_number 166
_symmetry_space_group_name_Hall '-R 3 2"'
loop_
_atom_site_label
_atom_site_type_symbol
_atom_site_fract_x
_atom_site_fract_y
_atom_site_fract_z
_atom_site_occupancy
Li1 Li 0.0000 0.0000 0.2490 1
Cu1 Cu 0.0000 0.0000 0.0000 1
Ir1 Ir 0.0000 0.0000 0.5000 1
```


Li2CuIr | PBEsol | optimized geometry

Calculated values
The energy of formation comes out at -0.018 eV per atom. Its crystal system is monoclinic. The energy comes out at -0.167 hartree per atom. The total moment comes out at 0.000 Bohr magnetons per cell. As for the energy above the most stable polymorph in this dataset: 0.061 eV per atom.

```
data_Li2CuIr
_chemical_formula_sum 'Li4 Cu2 Ir2'
_cell_length_a 8.900
_cell_length_b 2.487
_cell_length_c 4.715
_cell_angle_alpha 90.00
_cell_angle_beta 97.40
_cell_angle_gamma 90.00
_symmetry_space_group_name_H-M 'C 1 m 1'
_symmetry_Int_Tables_number 8
loop_
_symmetry_equiv_pos_as_xyz
'x,y,z'
'x,-y,z'
'x+1/2,y+1/2,z'
'x+1/2,-y+1/2,z'
loop_
_atom_site_label
_atom_site_type_symbol
_atom_site_fract_x
_atom_site_fract_y
_atom_site_fract_z
_atom_site_occupancy
Li1 Li 0.000 0.000 0.000 1
Li2 Li 0.237 0.000 0.759 1
Cu1 Cu 0.492 0.000 0.474 1
Ir1 Ir 0.251 0.500 0.270 1
```


LiCuIr2 | PBEsol | optimized geometry

Calculated values
The energy of formation comes out at 0.199 eV per atom. Its crystal system is orthorhombic. The energy comes out at -0.231 hartree per atom. The total moment comes out at 0.001 Bohr magnetons per cell.

```
data_LiCuIr2
_chemical_formula_sum 'Li1 Cu1 Ir2'
_cell_length_a 2.565
_cell_length_b 3.914
_cell_length_c 5.170
_cell_angle_alpha 90.00
_cell_angle_beta 90.00
_cell_angle_gamma 90.00
_symmetry_space_group_name_H-M 'P m m m'
_symmetry_Int_Tables_number 47
loop_
_symmetry_equiv_pos_as_xyz
'x,y,z'
'-x,-y,-z'
'-x,-y,z'
'x,y,-z'
'x,-y,-z'
'-x,y,z'
'-x,y,-z'
'x,-y,z'
loop_
_atom_site_label
_atom_site_type_symbol
_atom_site_fract_x
_atom_site_fract_y
_atom_site_fract_z
_atom_site_occupancy
Li1 Li 0.000 0.000 0.000 1
Cu1 Cu 0.000 0.000 0.500 1
Ir1 Ir 0.500 0.500 0.245 1
```


LiCuIr2 | PBEsol | optimized geometry

Calculated values
The energy of formation comes out at -0.053 eV per atom. Its crystal system is orthorhombic. The energy comes out at -0.240 hartree per atom. The total moment comes out at 0.000 Bohr magnetons per cell.

```
data_LiCuIr2
_chemical_formula_sum 'Li1 Cu1 Ir2'
_cell_length_a 2.657
_cell_length_b 4.349
_cell_length_c 4.486
_cell_angle_alpha 90.00
_cell_angle_beta 90.00
_cell_angle_gamma 90.00
_symmetry_space_group_name_H-M 'P m m 2'
_symmetry_Int_Tables_number 25
loop_
_symmetry_equiv_pos_as_xyz
'x,y,z'
'-x,-y,z'
'-x,y,z'
'x,-y,z'
loop_
_atom_site_label
_atom_site_type_symbol
_atom_site_fract_x
_atom_site_fract_y
_atom_site_fract_z
_atom_site_occupancy
Li1 Li 0.000 0.000 0.000 1
Cu1 Cu 0.500 0.500 0.869 1
Ir1 Ir 0.000 0.500 0.368 1
Ir2 Ir 0.500 0.000 0.503 1
```


LiCuIr | PBEsol | optimized geometry

Calculated values
The energy of formation comes out at 0.798 eV per atom. Its crystal system is cubic. The energy comes out at -0.168 hartree per atom. The total moment comes out at 3.222 Bohr magnetons per cell. As for the energy above the most stable polymorph in this dataset: 0.698 eV per atom.

```
data_LiCuIr
_chemical_formula_sum 'Li4 Cu4 Ir4'
_cell_length_a 5.674
_cell_length_b 5.674
_cell_length_c 5.674
_cell_angle_alpha 90.00
_cell_angle_beta 90.00
_cell_angle_gamma 90.00
_symmetry_space_group_name_H-M 'F -4 3 m'
_symmetry_Int_Tables_number 216
_symmetry_space_group_name_Hall 'F -4 2 3'
loop_
_atom_site_label
_atom_site_type_symbol
_atom_site_fract_x
_atom_site_fract_y
_atom_site_fract_z
_atom_site_occupancy
Li1 Li 0.000 0.000 0.000 1
Cu1 Cu 0.000 0.000 0.500 1
Ir1 Ir 0.250 0.250 0.750 1
```


Li2CuIr | PBEsol | optimized geometry

Calculated values
The energy of formation comes out at -0.064 eV per atom. Its crystal system is monoclinic. The energy comes out at -0.169 hartree per atom. The total moment comes out at 0.001 Bohr magnetons per cell. As for the energy above the most stable polymorph in this dataset: 0.015 eV per atom.

```
data_Li2CuIr
_chemical_formula_sum 'Li4 Cu2 Ir2'
_cell_length_a 5.134
_cell_length_b 8.628
_cell_length_c 2.526
_cell_angle_alpha 90.00
_cell_angle_beta 116.04
_cell_angle_gamma 90.00
_symmetry_space_group_name_H-M 'C 1 2/m 1'
_symmetry_Int_Tables_number 12
loop_
_symmetry_equiv_pos_as_xyz
'x,y,z'
'-x,-y,-z'
'-x,y,-z'
'x,-y,z'
'x+1/2,y+1/2,z'
'-x+1/2,-y+1/2,-z'
'-x+1/2,y+1/2,-z'
'x+1/2,-y+1/2,z'
loop_
_atom_site_label
_atom_site_type_symbol
_atom_site_fract_x
_atom_site_fract_y
_atom_site_fract_z
_atom_site_occupancy
Li1 Li 0.250 0.250 0.000 1
Cu1 Cu 0.000 0.000 0.500 1
Ir1 Ir 0.000 0.500 0.500 1
```


LiCuIr2 | PBEsol | optimized geometry

Calculated values
The energy of formation comes out at 0.101 eV per atom. Its crystal system is cubic. The energy comes out at -0.235 hartree per atom. The total moment comes out at 0.001 Bohr magnetons per cell.

```
data_LiCuIr2
_chemical_formula_sum 'Li4 Cu4 Ir8'
_cell_length_a 5.905
_cell_length_b 5.905
_cell_length_c 5.905
_cell_angle_alpha 90.00
_cell_angle_beta 90.00
_cell_angle_gamma 90.00
_symmetry_space_group_name_H-M 'F -4 3 m'
_symmetry_Int_Tables_number 216
_symmetry_space_group_name_Hall 'F -4 2 3'
loop_
_atom_site_label
_atom_site_type_symbol
_atom_site_fract_x
_atom_site_fract_y
_atom_site_fract_z
_atom_site_occupancy
Li1 Li 0.000 0.000 0.000 1
Cu1 Cu 0.250 0.250 0.750 1
Ir1 Ir 0.000 0.000 0.500 1
Ir2 Ir 0.250 0.250 0.250 1
```


Li2CuIr | PBEsol | optimized geometry

Calculated values
The energy of formation comes out at -0.065 eV per atom. Its crystal system is orthorhombic. The energy comes out at -0.169 hartree per atom. The total moment comes out at 0.001 Bohr magnetons per cell. As for the energy above the most stable polymorph in this dataset: 0.014 eV per atom.

```
data_Li2CuIr
_chemical_formula_sum 'Li4 Cu2 Ir2'
_cell_length_a 2.721
_cell_length_b 4.393
_cell_length_c 8.647
_cell_angle_alpha 90.00
_cell_angle_beta 90.00
_cell_angle_gamma 90.00
_symmetry_space_group_name_H-M 'C m m m'
_symmetry_Int_Tables_number 65
_symmetry_space_group_name_Hall '-C 2 2'
loop_
_atom_site_label
_atom_site_type_symbol
_atom_site_fract_x
_atom_site_fract_y
_atom_site_fract_z
_atom_site_occupancy
Li1 Li 0.000 0.000 0.247 1
Cu1 Cu 0.000 0.500 0.500 1
Ir1 Ir 0.000 0.500 0.000 1
```


LiCuSb2Ir | PBEsol | optimized geometry

Calculated values
Its crystal system is tetragonal. The energy comes out at -0.161 hartree per atom. As for the raw formation energy: 64.1 kJ per mole of atoms. The total moment comes out at 0.000 Bohr magnetons per cell.

```
data_LiCuSb2Ir
_chemical_formula_sum 'Li1 Cu1 Sb2 Ir1'
_cell_length_a 4.858
_cell_length_b 4.858
_cell_length_c 4.677
_cell_angle_alpha 90.00
_cell_angle_beta 90.00
_cell_angle_gamma 90.00
_symmetry_space_group_name_H-M 'P 4/m m m'
_symmetry_Int_Tables_number 123
_symmetry_space_group_name_Hall '-P 4 2'
loop_
_atom_site_label
_atom_site_type_symbol
_atom_site_fract_x
_atom_site_fract_y
_atom_site_fract_z
_atom_site_occupancy
Li1 Li 0.000 0.000 0.000 1
Cu1 Cu 0.500 0.500 0.500 1
Sb1 Sb 0.000 0.500 0.500 1
Ir1 Ir 0.500 0.500 0.000 1
```